No. 1
BeAgN | PBE | relaxed

## Properties
V = 10.8 Å³ per atom
Energy = -5.103 eV/atom
SG = No. 1
ρ = 6.7 g/cm³

Lattice parameters (Å, degrees): 2.8655 2.9408 8.9185 95.43 80.73 119.16
Fractional positions:
Be1 0.8833 0.5099 0.5198
Be2 0.6459 0.8289 0.3122
Ag1 0.0697 0.4303 0.0538
Ag2 0.5504 0.1175 0.7848
N1 0.9734 0.4870 0.3153
N2 0.1720 0.1453 0.5759

---

No. 2
CdGa4Ni15 | PBE | relaxed

## Properties
V = 11.8 Å³ per atom
Energy relative to the elements = -0.197 eV/atom
SG = No. 123
ρ = 8.9 g/cm³

Lattice parameters (Å, degrees): 3.6163 3.6163 18.0641 90.00 90.00 90.00
Fractional positions:
Ni1 0.5000 0.0000 0.8911
Ni2 0.0000 0.5000 0.6961
Ni3 0.0000 0.5000 0.1089
Ni4 0.5000 0.5000 0.2062
Ni5 0.5000 0.5000 0.4020
Ni6 0.5000 0.5000 0.5980
Ni7 0.0000 0.5000 0.8911
Ni8 0.0000 0.5000 0.5000
Ni9 0.0000 0.5000 0.3039
Ni10 0.5000 0.5000 0.0000
Ni11 0.5000 0.0000 0.5000
Ni12 0.5000 0.5000 0.7938
Ni13 0.5000 0.0000 0.1089
Ni14 0.5000 0.0000 0.6961
Ni15 0.5000 0.0000 0.3039
Ga1 0.0000 0.0000 0.5979
Ga2 0.0000 0.0000 0.2058
Ga3 0.0000 0.0000 0.4021
Ga4 0.0000 0.0000 0.7942
Cd1 0.0000 0.0000 0.0000

---

No. 3
TcAg | PBE | relaxed

## Properties
Relative energy among the computed polymorphs = 0.2257 eV per atom
V = 16.4 Å³ per atom
Energy relative to the elements = 0.398 eV/atom
SG = No. 11
ρ = 10.4 g/cm³

Lattice parameters (Å, degrees): 2.8495 3.8418 6.0027 90.00 91.95 90.00
Fractional positions:
Ag1 0.2409 0.7500 0.8763
Ag2 0.7591 0.2500 0.1237
Tc1 0.7049 0.2500 0.5895
Tc2 0.2951 0.7500 0.4105